Entry i
DFT (PBE) results for a relaxed CsPI2O crystal.

Lattice parameters (Å, degrees): 6.382 6.382 3.662 90.00 90.00 90.00
Element x y z (fractional)
1 Cs 0.000 0.000 0.000
2 P 0.500 0.500 0.500
3 I 0.000 0.500 0.500
4 I 0.500 0.000 0.500
5 O 0.500 0.500 0.000

=====

Entry ii
DFT (PBE) results for a relaxed CsPI2O crystal.

Lattice parameters (Å, degrees): 6.877 6.877 4.353 90.00 90.00 90.00
Element x y z (fractional)
1 Cs 0.000 0.000 0.000
2 P 0.500 0.500 0.500
3 I 0.000 0.500 0.000
4 I 0.500 0.000 0.000
5 O 0.000 0.000 0.500

=====

Relative stability in meV/atom, measured from the most stable structure: entry i 0; entry ii 1552

=====

Entry i
DFT (PBE) results for a relaxed CsPbI2O crystal.

Lattice parameters (Å, degrees): 6.845 6.845 4.393 90.00 90.00 90.00
Element x y z (fractional)
1 Cs 0.000 0.000 0.000
2 Pb 0.500 0.500 0.500
3 I 0.000 0.500 0.000
4 I 0.500 0.000 0.000
5 O 0.000 0.000 0.500

=====

Entry ii
DFT (PBE) results for a relaxed CsPbI2O crystal.

Lattice parameters (Å, degrees): 6.365 6.365 4.309 90.00 90.00 90.00
Element x y z (fractional)
1 Cs 0.000 0.000 0.000
2 Pb 0.500 0.500 0.500
3 I 0.000 0.500 0.500
4 I 0.500 0.000 0.500
5 O 0.500 0.500 0.000

=====

Relative stability in meV/atom, measured from the most stable structure: entry i 868; entry ii 0

=====

Entry i
DFT (PBE) results for a relaxed CsPdI2O crystal.

Lattice parameters (Å, degrees): 6.103 6.103 4.018 90.00 90.00 90.00
Element x y z (fractional)
1 Cs 0.000 0.000 0.000
2 Pd 0.500 0.500 0.500
3 I 0.000 0.500 0.500
4 I 0.500 0.000 0.500
5 O 0.500 0.500 0.000

=====

Entry ii
DFT (PBE) results for a relaxed CsPdI2O crystal.

Lattice parameters (Å, degrees): 7.058 7.058 4.363 90.00 90.00 90.00
Element x y z (fractional)
1 Cs 0.000 0.000 0.000
2 Pd 0.500 0.500 0.500
3 I 0.000 0.500 0.000
4 I 0.500 0.000 0.000
5 O 0.000 0.000 0.500

=====

Relative stability in meV/atom, measured from the most stable structure: entry i 0; entry ii 1161

=====

Entry i
DFT (PBE) results for a relaxed CsPtIO2 crystal.

Lattice parameters (Å, degrees): 4.189 4.189 8.546 90.00 90.00 90.00
Element x y z (fractional)
1 Cs 0.000 0.000 0.000
2 Pt 0.500 0.500 0.500
3 I 0.000 0.000 0.500
4 O 0.000 0.500 0.000
5 O 0.500 0.000 0.000

=====

Entry ii
DFT (PBE) results for a relaxed CsPtIO2 crystal.

Lattice parameters (Å, degrees): 4.563 4.563 5.443 90.00 90.00 90.00
Element x y z (fractional)
1 Cs 0.000 0.000 0.000
2 Pt 0.500 0.500 0.500
3 I 0.500 0.500 0.000
4 O 0.000 0.500 0.500
5 O 0.500 0.000 0.500

=====

Relative stability in meV/atom, measured from the most stable structure: entry i 751; entry ii 0

=====

Entry i
DFT (PBE) results for a relaxed CsRbI2O crystal.

Lattice parameters (Å, degrees): 7.362 7.362 4.459 90.00 90.00 90.00
Element x y z (fractional)
1 Cs 0.000 0.000 0.000
2 Rb 0.500 0.500 0.500
3 I 0.000 0.500 0.000
4 I 0.500 0.000 0.000
5 O 0.000 0.000 0.500

=====

Entry ii
DFT (PBE) results for a relaxed CsRbI2O crystal.

Lattice parameters (Å, degrees): 6.998 6.998 5.593 90.00 90.00 90.00
Element x y z (fractional)
1 Cs 0.000 0.000 0.000
2 Rb 0.500 0.500 0.500
3 I 0.000 0.500 0.500
4 I 0.500 0.000 0.500
5 O 0.500 0.500 0.000

=====

Relative stability in meV/atom, measured from the most stable structure: entry i 71; entry ii 0

=====

Entry i
DFT (PBE) results for a relaxed CsRhI2O crystal.

Lattice parameters (Å, degrees): 6.162 6.162 3.827 90.00 90.00 90.00
Element x y z (fractional)
1 Cs 0.000 0.000 0.000
2 Rh 0.500 0.500 0.500
3 I 0.000 0.500 0.500
4 I 0.500 0.000 0.500
5 O 0.500 0.500 0.000

=====

Entry ii
DFT (PBE) results for a relaxed CsRhI2O crystal.

Lattice parameters (Å, degrees): 6.889 6.889 4.362 90.00 90.00 90.00
Element x y z (fractional)
1 Cs 0.000 0.000 0.000
2 Rh 0.500 0.500 0.500
3 I 0.000 0.500 0.000
4 I 0.500 0.000 0.000
5 O 0.000 0.000 0.500

=====

Relative stability in meV/atom, measured from the most stable structure: entry i 0; entry ii 1508

=====

Entry i
DFT (PBE) results for a relaxed CsRuIO2 crystal.

Lattice parameters (Å, degrees): 4.455 4.455 5.418 90.00 90.00 90.00
Element x y z (fractional)
1 Cs 0.000 0.000 0.000
2 Ru 0.500 0.500 0.500
3 I 0.500 0.500 0.000
4 O 0.000 0.500 0.500
5 O 0.500 0.000 0.500

=====

Entry ii
DFT (PBE) results for a relaxed CsRuIO2 crystal.

Lattice parameters (Å, degrees): 4.272 4.272 7.713 90.00 90.00 90.00
Element x y z (fractional)
1 Cs 0.000 0.000 0.000
2 Ru 0.500 0.500 0.500
3 I 0.000 0.000 0.500
4 O 0.000 0.500 0.000
5 O 0.500 0.000 0.000

=====

Relative stability in meV/atom, measured from the most stable structure: entry i 0; entry ii 1183

=====

Entry i
DFT (PBE) results for a relaxed CsSI2O crystal.

Lattice parameters (Å, degrees): 7.413 7.413 4.384 90.00 90.00 90.00
Element x y z (fractional)
1 Cs 0.000 0.000 0.000
2 S 0.500 0.500 0.500
3 I 0.000 0.500 0.000
4 I 0.500 0.000 0.000
5 O 0.000 0.000 0.500

=====

Entry ii
DFT (PBE) results for a relaxed CsSI2O crystal.

Lattice parameters (Å, degrees): 6.771 6.771 3.578 90.00 90.00 90.00
Element x y z (fractional)
1 Cs 0.000 0.000 0.000
2 S 0.500 0.500 0.500
3 I 0.000 0.500 0.500
4 I 0.500 0.000 0.500
5 O 0.500 0.500 0.000

=====

Relative stability in meV/atom, measured from the most stable structure: entry i 1070; entry ii 0

=====

Entry i
DFT (PBE) results for a relaxed CsSbIO2 crystal.

Lattice parameters (Å, degrees): 8.731 8.731 5.568 90.00 90.00 132.00
Element x y z (fractional)
1 Cs 0.116 0.884 0.750
2 Cs 0.884 0.116 0.250
3 Sb 0.454 0.546 0.750
4 Sb 0.546 0.454 0.250
5 I 0.288 0.712 0.250
6 I 0.712 0.288 0.750
7 O 0.319 0.319 0.000
8 O 0.319 0.319 0.500
9 O 0.681 0.681 0.000
10 O 0.681 0.681 0.500

=====

Entry ii
DFT (PBE) results for a relaxed CsSbIO2 crystal.

Lattice parameters (Å, degrees): 4.585 4.585 6.074 90.00 90.00 90.00
Element x y z (fractional)
1 Cs 0.000 0.000 0.000
2 Sb 0.500 0.500 0.500
3 I 0.500 0.500 0.000
4 O 0.000 0.500 0.500
5 O 0.500 0.000 0.500

=====

Entry iii
DFT (PBE) results for a relaxed CsSbIO2 crystal.

Lattice parameters (Å, degrees): 4.592 4.592 5.862 90.00 90.00 90.00
Element x y z (fractional)
1 Cs 0.000 0.000 0.000
2 Sb 0.500 0.500 0.000
3 I 0.500 0.500 0.500
4 O 0.000 0.500 0.500
5 O 0.500 0.000 0.500

=====

Relative stability in meV/atom, measured from the most stable structure: entry i 0; entry ii 607; entry iii 1461

=====

Entry i
DFT (PBE) results for a relaxed CsScI2O crystal.

Lattice parameters (Å, degrees): 6.342 6.342 3.985 90.00 90.00 90.00
Element x y z (fractional)
1 Cs 0.000 0.000 0.000
2 Sc 0.500 0.500 0.500
3 I 0.000 0.500 0.500
4 I 0.500 0.000 0.500
5 O 0.500 0.500 0.000

=====

Entry ii
DFT (PBE) results for a relaxed CsScI2O crystal.

Lattice parameters (Å, degrees): 6.769 6.769 4.364 90.00 90.00 90.00
Element x y z (fractional)
1 Cs 0.000 0.000 0.000
2 Sc 0.500 0.500 0.500
3 I 0.000 0.500 0.000
4 I 0.500 0.000 0.000
5 O 0.000 0.000 0.500

=====

Relative stability in meV/atom, measured from the most stable structure: entry i 0; entry ii 1896

=====

Entry i
DFT (PBE) results for a relaxed CsSeI2O crystal.

Lattice parameters (Å, degrees): 6.374 6.374 3.941 90.00 90.00 90.00
Element x y z (fractional)
1 Cs 0.000 0.000 0.000
2 Se 0.500 0.500 0.500
3 I 0.000 0.500 0.500
4 I 0.500 0.000 0.500
5 O 0.500 0.500 0.000

=====

Entry ii
DFT (PBE) results for a relaxed CsSeI2O crystal.

Lattice parameters (Å, degrees): 7.380 7.380 4.388 90.00 90.00 90.00
Element x y z (fractional)
1 Cs 0.000 0.000 0.000
2 Se 0.500 0.500 0.500
3 I 0.000 0.500 0.000
4 I 0.500 0.000 0.000
5 O 0.000 0.000 0.500

=====

Relative stability in meV/atom, measured from the most stable structure: entry i 0; entry ii 1108

=====

Entry i
DFT (PBE) results for a relaxed CsSiIO2 crystal.

Lattice parameters (Å, degrees): 4.350 4.350 7.838 90.00 90.00 90.00
Element x y z (fractional)
1 Cs 0.000 0.000 0.000
2 Si 0.500 0.500 0.500
3 I 0.000 0.000 0.500
4 O 0.000 0.500 0.000
5 O 0.500 0.000 0.000

=====

Entry ii
DFT (PBE) results for a relaxed CsSiIO2 crystal.

Lattice parameters (Å, degrees): 4.401 4.401 5.349 90.00 90.00 90.00
Element x y z (fractional)
1 Cs 0.000 0.000 0.000
2 Si 0.500 0.500 0.500
3 I 0.500 0.500 0.000
4 O 0.000 0.500 0.500
5 O 0.500 0.000 0.500

=====

Relative stability in meV/atom, measured from the most stable structure: entry i 1039; entry ii 0

=====

Entry i
DFT (PBE) results for a relaxed CsSrI2O crystal.

Lattice parameters (Å, degrees): 6.824 6.824 4.500 90.00 90.00 90.00
Element x y z (fractional)
1 Cs 0.000 0.000 0.000
2 Sr 0.500 0.500 0.500
3 I 0.000 0.500 0.000
4 I 0.500 0.000 0.000
5 O 0.000 0.000 0.500

=====

Entry ii
DFT (PBE) results for a relaxed CsSrI2O crystal.

Lattice parameters (Å, degrees): 6.671 6.671 4.780 90.00 90.00 90.00
Element x y z (fractional)
1 Cs 0.000 0.000 0.000
2 Sr 0.500 0.500 0.500
3 I 0.000 0.500 0.500
4 I 0.500 0.000 0.500
5 O 0.500 0.500 0.000

=====

Relative stability in meV/atom, measured from the most stable structure: entry i 772; entry ii 0

=====

Entry i
DFT (PBE) results for a relaxed CsTaI2O crystal.

Lattice parameters (Å, degrees): 6.194 6.194 3.979 90.00 90.00 90.00
Element x y z (fractional)
1 Cs 0.000 0.000 0.000
2 Ta 0.500 0.500 0.500
3 I 0.000 0.500 0.500
4 I 0.500 0.000 0.500
5 O 0.500 0.500 0.000

=====

Entry ii
DFT (PBE) results for a relaxed CsTaI2O crystal.

Lattice parameters (Å, degrees): 6.685 6.685 4.289 90.00 90.00 90.00
Element x y z (fractional)
1 Cs 0.000 0.000 0.000
2 Ta 0.500 0.500 0.500
3 I 0.000 0.500 0.000
4 I 0.500 0.000 0.000
5 O 0.000 0.000 0.500

=====

Relative stability in meV/atom, measured from the most stable structure: entry i 0; entry ii 2207